Density functional theory data (PBE) for a geometry-optimized Al5Ni structure.

The structure in POSCAR format:
```
Al5Ni
1.0
-3.668 -1.437 3.334
-3.186 3.528 2.009
-4.961 0.102 -1.419
Al Ni
5 1
direct
0.250 0.250 0.250 Al
0.625 0.625 0.625 Al
0.125 0.625 0.625 Al
0.625 0.625 0.125 Al
0.625 0.125 0.625 Al
0.000 0.000 0.000 Ni
```

Calculated values
**Space group**: No. 216
**Calculated volume**: 97 Å³/cell
**Crystal system**: cubic
**ΔH_f (0 K)**: 0.23 eV per atom